Record 1
Density functional theory data (PBE) for crystalline Si2AuCl at its relaxed geometry.

Results
The value obtained for the energy relative to the lowest polymorph listed for this composition is 179 meV/atom. Its formation energy (no corrections) is -117 meV per atom.

Lattice parameters (Å, degrees): 3.9510 4.3111 6.9998 88.99 87.04 89.98
Last column: nearest neighbours and their distance in Å.
Space group P1 (No. 1)
Symmetry-distinct sites (fractional):
Si (0.0000, 0.0000, 0.0000) (multiplicity 1)  1 Cl 2.07
Si (0.4968, 0.9941, 0.1982) (multiplicity 1)  2 Si 2.36-2.46, 2 Au 2.44
Au (0.2389, 0.4961, 0.1322) (multiplicity 1)  4 Si 2.44-2.55
Cl (0.9861, 0.0089, 0.7040) (multiplicity 1)  1 Si 2.07


Record 2
Density functional theory data (PBE) for crystalline Si2AuCl at its relaxed geometry.

Results
The value obtained for the energy relative to the lowest polymorph listed for this composition is 592 meV/atom. Its formation energy (no corrections) is 297 meV per atom.

Lattice parameters (Å, degrees): 5.7551 5.7551 12.2208 90.00 90.00 90.00
Last column: nearest neighbours and their distance in Å.
Space group I-42d (No. 122)
Symmetry-distinct sites (fractional):
Si (0.1913, 0.2500, 0.1250) (multiplicity 8)  2 Au 2.37
Au (0.0000, 0.0000, 0.0000) (multiplicity 4)  4 Si 2.37
Cl (0.0000, 0.0000, 0.5000) (multiplicity 4)  4 Si 2.75


Record 3
Density functional theory data (PBE) for crystalline Si2AuCl at its relaxed geometry.

Results
The value obtained for the energy relative to the lowest polymorph listed for this composition is 759 meV/atom. Its formation energy (no corrections) is 464 meV per atom.

Lattice parameters (Å, degrees): 6.5362 6.5362 6.5362 90.00 90.00 90.00
Last column: nearest neighbours and their distance in Å.
Space group Fm-3m (No. 225)
Symmetry-distinct sites (fractional):
Si (0.2500, 0.2500, 0.2500) (multiplicity 8)  4 Cl 2.83, 4 Au 2.83
Au (0.0000, 0.0000, 0.0000) (multiplicity 4)  8 Si 2.83
Cl (0.0000, 0.0000, 0.5000) (multiplicity 4)  8 Si 2.83


Record 4
Density functional theory data (PBE) for crystalline Si2AuCl at its relaxed geometry.

Results
The value obtained for the energy relative to the lowest polymorph listed for this composition is 388 meV/atom. Its formation energy (no corrections) is 93 meV per atom.

Lattice parameters (Å, degrees): 3.8380 3.8380 18.7353 90.00 90.00 120.00
Last column: nearest neighbours and their distance in Å.
Space group R3m (No. 160, hexagonal axes)
Symmetry-distinct sites (fractional):
Si (0.0000, 0.0000, 0.0000) (multiplicity 3)  3 Si 2.35
Si (0.0000, 0.0000, 0.2911) (multiplicity 3)  3 Si 2.35
Au (0.0000, 0.0000, 0.7446) (multiplicity 3)  3 Si 2.65, 3 Cl 2.92
Cl (0.0000, 0.0000, 0.5124) (multiplicity 3)  3 Au 2.92, 3 Si 3.05